No. 1
{
  "formula": "Nd5Mg4Ru4",
  "functional": "PBE",
  "state": "relaxed",
  "delta_e_f_mev_per_atom": -155,
  "spacegroup": "I4/m, No. 87",
  "m_tot_mub_per_cell": 0.00,
  "cell": [[-5.834, 5.834, 2.180], [5.834, -5.834, 2.180], [5.834, 5.834, -2.180]],
  "species": ["Nd", "Nd", "Nd", "Nd", "Nd", "Mg", "Mg", "Mg", "Mg", "Ru", "Ru", "Ru", "Ru"],
  "fractional_positions": [[0.000, 0.000, 0.000], [0.294, 0.629, 0.923], [0.371, 0.294, 0.665], [0.629, 0.706, 0.335], [0.706, 0.371, 0.077], [0.107, 0.417, 0.524], [0.417, 0.893, 0.310], [0.583, 0.107, 0.690], [0.893, 0.583, 0.476], [0.064, 0.753, 0.817], [0.247, 0.064, 0.311], [0.753, 0.936, 0.689], [0.936, 0.247, 0.183]]
}

=====

No. 2
{
  "formula": "CaGa4Ni2Ir",
  "functional": "PBE",
  "state": "relaxed",
  "delta_e_f_mev_per_atom": -410,
  "spacegroup": "R-3m, No. 166",
  "m_tot_mub_per_cell": 0.00,
  "cell": [[2.058, 1.188, 9.225], [-2.058, 1.188, 9.225], [0.000, -2.376, 9.225]],
  "species": ["Ca", "Ga", "Ga", "Ga", "Ga", "Ni", "Ni", "Ir"],
  "fractional_positions": [[0.000, 0.000, 0.000], [0.129, 0.129, 0.129], [0.404, 0.404, 0.404], [0.596, 0.596, 0.596], [0.871, 0.871, 0.871], [0.227, 0.227, 0.227], [0.773, 0.773, 0.773], [0.500, 0.500, 0.500]]
}

=====

No. 3
{
  "formula": "PaTiTc",
  "functional": "PBE",
  "state": "relaxed",
  "delta_e_f_mev_per_atom": -187,
  "spacegroup": "Pnma, No. 62",
  "m_tot_mub_per_cell": 0.00,
  "polymorph_energy_ev_per_atom": 0.000,
  "cell": [[5.411, 0.000, 0.000], [0.000, 4.969, 0.000], [0.000, 0.000, 8.519]],
  "species": ["Pa", "Pa", "Pa", "Pa", "Ti", "Ti", "Ti", "Ti", "Tc", "Tc", "Tc", "Tc"],
  "fractional_positions": [[0.096, 0.250, 0.081], [0.404, 0.750, 0.581], [0.596, 0.250, 0.419], [0.904, 0.750, 0.919], [0.106, 0.250, 0.702], [0.394, 0.750, 0.202], [0.606, 0.250, 0.798], [0.894, 0.750, 0.298], [0.092, 0.250, 0.407], [0.408, 0.750, 0.907], [0.592, 0.250, 0.093], [0.908, 0.750, 0.593]]
}

=====

No. 4
{
  "formula": "NdHo3Pt2",
  "functional": "PBE",
  "state": "relaxed",
  "delta_e_f_mev_per_atom": -935,
  "spacegroup": "Pmc2_1, No. 26",
  "m_tot_mub_per_cell": 0.00,
  "polymorph_energy_ev_per_atom": 0.000,
  "cell": [[4.790, 0.000, 0.000], [0.000, 8.849, 0.000], [0.000, 0.000, 7.187]],
  "species": ["Nd", "Nd", "Ho", "Ho", "Ho", "Ho", "Ho", "Ho", "Pt", "Pt", "Pt", "Pt"],
  "fractional_positions": [[0.000, 0.080, 0.000], [0.000, 0.920, 0.500], [0.000, 0.335, 0.635], [0.000, 0.665, 0.135], [0.500, 0.175, 0.349], [0.500, 0.421, 0.981], [0.500, 0.579, 0.481], [0.500, 0.825, 0.849], [0.000, 0.347, 0.237], [0.000, 0.653, 0.737], [0.500, 0.164, 0.744], [0.500, 0.836, 0.244]]
}